An optimized crystal structure of K2CaCo3F12, computed with GGA+U.

Cell: 7.1772 7.1772 7.1772 Å, 62.59 62.59 62.59°
Atoms (fractional coordinates):
K: 0.1260 0.1260 0.1260
K: 0.8740 0.8740 0.8740
Ca: 0.5000 0.5000 0.5000
Co: 0.0000 0.5000 0.5000
Co: 0.5000 0.0000 0.5000
Co: 0.5000 0.5000 0.0000
F: 0.1163 0.6092 0.6092
F: 0.2080 0.2080 0.5896
F: 0.2080 0.5896 0.2080
F: 0.3908 0.3908 0.8837
F: 0.3908 0.8837 0.3908
F: 0.4104 0.7920 0.7920
F: 0.5896 0.2080 0.2080
F: 0.6092 0.1163 0.6092
F: 0.6092 0.6092 0.1163
F: 0.7920 0.4104 0.7920
F: 0.7920 0.7920 0.4104
F: 0.8837 0.3908 0.3908

Calculated values
Magnetic moment, μB/atom: 0.39
Calculated volume, Å³/cell: 276.49
Symmetry: R-3m
E_tot, eV per atom: -4.79